Record 1
First-principles (GGA-PBE) data for a relaxed structure of Li2Cd3Ag7, as listed in Alexandria.

The structure in POSCAR format:
```
Li2Cd3Ag7
1.0
4.827 0.000 0.000
0.000 2.944 0.000
-0.981 0.000 15.726
Li Cd Ag
2 3 7
direct
0.216 0.000 0.293 Li
0.784 0.000 0.707 Li
0.000 0.000 0.000 Cd
0.273 0.500 0.628 Cd
0.727 0.500 0.372 Cd
0.197 0.500 0.152 Ag
0.241 0.000 0.454 Ag
0.297 0.000 0.803 Ag
0.500 0.500 0.000 Ag
0.703 0.000 0.197 Ag
0.759 0.000 0.546 Ag
0.803 0.500 0.848 Ag
```

Computed properties:
Its uncorrected energy is -2.25 eV/atom. Its formation energy is -0.0433 eV per atom.


Record 2
First-principles (GGA-PBE) data for a relaxed structure of Dy3GaRu, as listed in Alexandria.

The structure in POSCAR format:
```
Dy3GaRu
1.0
6.838 0.000 0.000
0.000 5.023 0.000
-1.091 0.000 7.411
Dy Ga Ru
6 2 2
direct
0.000 0.000 0.000 Dy
0.043 0.500 0.679 Dy
0.300 0.500 0.281 Dy
0.497 0.500 0.861 Dy
0.573 0.000 0.525 Dy
0.796 0.500 0.252 Dy
0.087 0.000 0.414 Ga
0.491 0.000 0.091 Ga
0.265 0.000 0.759 Ru
0.654 0.500 0.553 Ru
```

Computed properties:
Its uncorrected energy is -5.51 eV/atom. Its formation energy is -0.2916 eV per atom.


Record 3
First-principles (GGA-PBE) data for a relaxed structure of NpZn2Cu, as listed in Alexandria.

The structure in POSCAR format:
```
NpZn2Cu
1.0
2.662 0.000 0.000
0.000 2.662 0.000
0.000 0.000 8.514
Np Zn Cu
1 2 1
direct
0.000 0.000 0.000 Np
0.500 0.500 0.289 Zn
0.500 0.500 0.711 Zn
0.000 0.000 0.500 Cu
```

Computed properties:
Its uncorrected energy is -4.87 eV/atom. Its formation energy is 0.0302 eV per atom.


Record 4
First-principles (GGA-PBE) data for a relaxed structure of Mg2AuSe, as listed in Alexandria.

The structure in POSCAR format:
```
Mg2AuSe
1.0
0.000 3.450 3.450
3.450 0.000 3.450
3.450 3.450 0.000
Mg Au Se
2 1 1
direct
0.000 0.000 0.000 Mg
0.250 0.250 0.250 Mg
0.750 0.750 0.750 Au
0.500 0.500 0.500 Se
```

Computed properties:
As for the uncorrected formation energy: -0.112 eV per atom. Its uncorrected energy is -2.60 eV/atom.


Record 5
First-principles (GGA-PBE) data for a relaxed structure of AlIBr2, as listed in Alexandria.

The structure in POSCAR format:
```
AlIBr2
1.0
4.554 -6.739 0.000
4.554 6.739 0.000
-1.790 0.000 3.638
Al I Br
1 1 2
direct
0.000 0.000 0.000 Al
0.131 0.869 0.500 I
0.156 0.323 0.238 Br
0.677 0.844 0.762 Br
```

Computed properties:
As for the uncorrected formation energy: -0.919 eV per atom. Its uncorrected energy is -3.08 eV/atom.


Record 6
First-principles (GGA-PBE) data for a relaxed structure of HoTmCuPt, as listed in Alexandria.

The structure in POSCAR format:
```
HoTmCuPt
1.0
4.445 0.000 0.000
0.000 1.863 5.171
0.000 -1.863 5.171
Ho Tm Cu Pt
1 1 1 1
direct
0.000 0.000 0.000 Ho
0.500 0.278 0.278 Tm
0.000 0.719 0.719 Cu
0.500 0.561 0.561 Pt
```

Computed properties:
Its uncorrected energy is -5.63 eV/atom. Its formation energy is -0.8368 eV per atom.


Record 7
First-principles (GGA-PBE) data for a relaxed structure of Nd8GeTe4P3, as listed in Alexandria.

The structure in POSCAR format:
```
Nd8GeTe4P3
1.0
4.296 2.480 7.313
-4.296 2.480 7.313
0.000 -4.960 7.313
Nd Ge Te P
8 1 4 3
direct
0.237 0.741 0.741 Nd
0.238 0.238 0.238 Nd
0.259 0.259 0.763 Nd
0.259 0.763 0.259 Nd
0.741 0.237 0.741 Nd
0.741 0.741 0.237 Nd
0.762 0.762 0.762 Nd
0.763 0.259 0.259 Nd
0.500 0.500 0.500 Ge
0.000 0.000 0.000 Te
0.000 0.500 0.500 Te
0.500 0.000 0.500 Te
0.500 0.500 0.000 Te
0.000 0.000 0.500 P
0.000 0.500 0.000 P
0.500 0.000 0.000 P
```

Computed properties:
As for the uncorrected formation energy: -1.488 eV per atom. Its uncorrected energy is -5.96 eV/atom.


Record 8
First-principles (GGA-PBE) data for a relaxed structure of Tb2NdGa, as listed in Alexandria.

The structure in POSCAR format:
```
Tb2NdGa
1.0
3.553 0.000 0.000
0.000 3.553 0.000
0.000 0.000 9.012
Tb Nd Ga
2 1 1
direct
0.000 0.000 0.205 Tb
0.000 0.000 0.795 Tb
0.500 0.500 0.500 Nd
0.500 0.500 0.000 Ga
```

Computed properties:
Its uncorrected energy is -4.55 eV/atom. Its formation energy is -0.2814 eV per atom.


Record 9
First-principles (GGA-PBE) data for a relaxed structure of LiCuSn2, as listed in Alexandria.

The structure in POSCAR format:
```
LiCuSn2
1.0
3.407 0.000 0.000
0.000 3.407 0.000
0.000 0.000 6.923
Li Cu Sn
1 1 2
direct
0.000 0.000 0.000 Li
0.000 0.000 0.500 Cu
0.500 0.500 0.271 Sn
0.500 0.500 0.729 Sn
```

Computed properties:
Its uncorrected energy is -3.58 eV/atom. Its formation energy is -0.0769 eV per atom.


Record 10
First-principles (GGA-PBE) data for a relaxed structure of Y2TiAl2Pd5, as listed in Alexandria.

The structure in POSCAR format:
```
Y2TiAl2Pd5
1.0
10.217 0.000 0.000
0.000 10.217 0.000
0.000 0.000 3.460
Y Ti Al Pd
4 2 4 10
direct
0.175 0.325 0.000 Y
0.325 0.825 0.000 Y
0.675 0.175 0.000 Y
0.825 0.675 0.000 Y
0.000 0.000 0.000 Ti
0.500 0.500 0.000 Ti
0.126 0.626 0.000 Al
0.374 0.126 0.000 Al
0.626 0.874 0.000 Al
0.874 0.374 0.000 Al
0.000 0.500 0.500 Pd
0.052 0.800 0.500 Pd
0.200 0.052 0.500 Pd
0.300 0.552 0.500 Pd
0.448 0.300 0.500 Pd
0.500 0.000 0.500 Pd
0.552 0.700 0.500 Pd
0.700 0.448 0.500 Pd
0.800 0.948 0.500 Pd
0.948 0.200 0.500 Pd
```

Computed properties:
Its uncorrected energy is -6.19 eV/atom. Its formation energy is -0.7628 eV per atom.


Record 11
First-principles (GGA-PBE) data for a relaxed structure of YTe2Pt, as listed in Alexandria.

The structure in POSCAR format:
```
YTe2Pt
1.0
0.000 3.657 3.657
3.657 0.000 3.657
3.657 3.657 0.000
Y Te Pt
1 2 1
direct
0.000 0.000 0.000 Y
0.500 0.500 0.500 Te
0.750 0.750 0.750 Te
0.250 0.250 0.250 Pt
```

Computed properties:
As for the uncorrected formation energy: -0.398 eV per atom. Its uncorrected energy is -5.09 eV/atom.


Record 12
First-principles (GGA-PBE) data for a relaxed structure of Rb3Nd3PtO8, as listed in Alexandria.

The structure in POSCAR format:
```
Rb3Nd3PtO8
1.0
3.545 2.047 6.609
-3.545 2.047 6.609
0.000 -4.093 6.609
Rb Nd Pt O
3 3 1 8
direct
0.000 0.500 0.500 Rb
0.500 0.000 0.500 Rb
0.500 0.500 0.000 Rb
0.000 0.000 0.500 Nd
0.000 0.500 0.000 Nd
0.500 0.000 0.000 Nd
0.500 0.500 0.500 Pt
0.226 0.226 0.226 O
0.256 0.706 0.706 O
0.294 0.294 0.744 O
0.294 0.744 0.294 O
0.706 0.256 0.706 O
0.706 0.706 0.256 O
0.744 0.294 0.294 O
0.774 0.774 0.774 O
```

Computed properties:
As for the uncorrected formation energy: -2.133 eV per atom. Its uncorrected energy is -6.33 eV/atom.


Record 13
First-principles (GGA-PBE) data for a relaxed structure of La2NiPd, as listed in Alexandria.

The structure in POSCAR format:
```
La2NiPd
1.0
1.928 1.113 8.800
-1.928 1.113 8.800
0.000 -2.226 8.800
La Ni Pd
2 1 1
direct
0.102 0.102 0.102 La
0.898 0.898 0.898 La
0.500 0.500 0.500 Ni
0.000 0.000 0.000 Pd
```

Computed properties:
Its uncorrected energy is -5.24 eV/atom. Its formation energy is -0.0302 eV per atom.


Record 14
First-principles (GGA-PBE) data for a relaxed structure of Mg2Ge, as listed in Alexandria.

The structure in POSCAR format:
```
Mg2Ge
1.0
4.219 0.000 0.000
0.000 4.219 0.000
0.000 0.000 7.002
Mg Ge
4 2
direct
0.250 0.250 0.143 Mg
0.250 0.750 0.500 Mg
0.750 0.250 0.500 Mg
0.750 0.750 0.857 Mg
0.250 0.250 0.757 Ge
0.750 0.750 0.243 Ge
```

Computed properties:
Its uncorrected energy is -2.80 eV/atom. Its formation energy is -0.1936 eV per atom.


Record 15
First-principles (GGA-PBE) data for a relaxed structure of Pr6Zn3Cd, as listed in Alexandria.

The structure in POSCAR format:
```
Pr6Zn3Cd
1.0
9.527 0.000 0.000
0.000 5.278 0.000
-3.447 0.000 11.199
Pr Zn Cd
12 6 2
direct
0.038 0.250 0.408 Pr
0.150 0.750 0.183 Pr
0.224 0.250 0.992 Pr
0.323 0.750 0.797 Pr
0.377 0.250 0.347 Pr
0.395 0.250 0.625 Pr
0.605 0.750 0.375 Pr
0.623 0.750 0.653 Pr
0.677 0.250 0.203 Pr
0.776 0.750 0.008 Pr
0.850 0.250 0.817 Pr
0.962 0.750 0.592 Pr
0.034 0.750 0.880 Zn
0.117 0.250 0.713 Zn
0.272 0.750 0.477 Zn
0.728 0.250 0.523 Zn
0.883 0.750 0.287 Zn
0.966 0.250 0.120 Zn
0.455 0.750 0.090 Cd
0.545 0.250 0.910 Cd
```

Computed properties:
Its uncorrected energy is -3.54 eV/atom. Its formation energy is -0.2008 eV per atom.


Record 16
First-principles (GGA-PBE) data for a relaxed structure of Cs2AcAg2Cl6, as listed in Alexandria.

The structure in POSCAR format:
```
Cs2AcAg2Cl6
1.0
6.447 -3.905 0.000
6.447 3.905 0.000
-3.884 0.000 8.085
Cs Ac Ag Cl
2 1 2 6
direct
0.203 0.203 0.169 Cs
0.797 0.797 0.831 Cs
0.000 0.000 0.500 Ac
0.456 0.456 0.614 Ag
0.544 0.544 0.386 Ag
0.175 0.732 0.211 Cl
0.241 0.241 0.589 Cl
0.268 0.825 0.789 Cl
0.732 0.175 0.211 Cl
0.759 0.759 0.411 Cl
0.825 0.268 0.789 Cl
```

Computed properties:
As for the uncorrected formation energy: -1.540 eV per atom. Its uncorrected energy is -3.59 eV/atom.


Record 17
First-principles (GGA-PBE) data for a relaxed structure of Er3ZnCo, as listed in Alexandria.

The structure in POSCAR format:
```
Er3ZnCo
1.0
5.374 0.000 0.000
-2.335 5.327 0.000
-1.531 -2.631 7.843
Er Zn Co
6 2 2
direct
0.067 0.201 0.284 Er
0.285 0.421 0.718 Er
0.302 0.803 0.105 Er
0.698 0.197 0.895 Er
0.715 0.579 0.282 Er
0.933 0.799 0.716 Er
0.334 0.779 0.498 Zn
0.666 0.221 0.502 Zn
0.248 0.248 0.998 Co
0.752 0.752 0.002 Co
```

Computed properties:
Its uncorrected energy is -4.65 eV/atom. Its formation energy is -0.2344 eV per atom.


Record 18
First-principles (GGA-PBE) data for a relaxed structure of Tc2AgOs, as listed in Alexandria.

The structure in POSCAR format:
```
Tc2AgOs
1.0
-1.953 1.953 3.944
1.953 -1.953 3.944
1.953 1.953 -3.944
Tc Ag Os
2 1 1
direct
0.000 0.000 0.000 Tc
0.750 0.250 0.500 Tc
0.250 0.750 0.500 Ag
0.500 0.500 0.000 Os
```

Computed properties:
Its uncorrected energy is -8.16 eV/atom. Its formation energy is 0.5475 eV per atom.


Record 19
First-principles (GGA-PBE) data for a relaxed structure of Ce5ZrSb6, as listed in Alexandria.

The structure in POSCAR format:
```
Ce5ZrSb6
1.0
3.835 -6.638 0.000
3.835 6.638 0.000
-2.556 0.000 7.250
Ce Zr Sb
5 1 6
direct
0.000 0.000 0.000 Ce
0.165 0.835 0.500 Ce
0.328 0.672 0.000 Ce
0.672 0.328 0.000 Ce
0.835 0.165 0.500 Ce
0.500 0.500 0.500 Zr
0.099 0.421 0.260 Sb
0.263 0.263 0.747 Sb
0.421 0.099 0.260 Sb
0.579 0.901 0.740 Sb
0.737 0.737 0.253 Sb
0.901 0.579 0.740 Sb
```

Computed properties:
As for the uncorrected formation energy: -0.958 eV per atom. Its uncorrected energy is -6.20 eV/atom.


Record 20
First-principles (GGA-PBE) data for a relaxed structure of CaLa2Zn2Ga2, as listed in Alexandria.

The structure in POSCAR format:
```
CaLa2Zn2Ga2
1.0
2.270 1.311 9.705
-2.270 1.311 9.705
0.000 -2.621 9.705
Ca La Zn Ga
1 2 2 2
direct
0.000 0.000 0.000 Ca
0.128 0.128 0.128 La
0.872 0.872 0.872 La
0.399 0.399 0.399 Zn
0.601 0.601 0.601 Zn
0.262 0.262 0.262 Ga
0.738 0.738 0.738 Ga
```

Computed properties:
Its uncorrected energy is -3.31 eV/atom. Its formation energy is -0.3908 eV per atom.